# 1
# BeHgSe2

A relaxed BeHgSe2 crystal (GGA-PBE, Alexandria).

The structure in extended XYZ format:
```
4
Lattice="-4.370 -3.274 -3.315 1.141 -6.042 -1.732 -0.795 4.376 4.585" Properties=species:S:1:pos:R:3 pbc="T T T"
Se -0.248 -0.714 -0.387
Se -2.969 -0.565 0.030
Be -1.594 -4.599 -2.492
Hg -0.827 -3.719 -0.137
```

Output
As for the crystal system: orthorhombic. The value obtained for the mass density is 6.11 g cm⁻³. The electronic total energy is -2.637 eV/atom. The energy relative to the lowest polymorph listed for this composition comes out at 583 meV/atom. For the magnetization, the calculation gives 0.0 μB per cell. The formation energy (no corrections) comes out at 113 meV/atom.


# 2
# BeHg2Se

A relaxed BeHg2Se crystal (GGA-PBE, Alexandria).

The structure in extended XYZ format:
```
4
Lattice="3.607 0.000 0.000 0.000 6.176 1.275 0.000 3.767 5.058" Properties=species:S:1:pos:R:3 pbc="T T T"
Hg 0.000 9.147 5.827
Hg 1.803 2.918 1.859
Be 1.803 6.883 4.384
Se 0.000 5.907 3.763
```

Output
As for the crystal system: orthorhombic. The value obtained for the mass density is 8.52 g cm⁻³. The electronic total energy is -2.040 eV/atom. The energy relative to the lowest polymorph listed for this composition comes out at 186 meV/atom. For the magnetization, the calculation gives 0.0 μB per cell. The formation energy (no corrections) comes out at -86 meV/atom.


# 3
# BeHgSe2

A relaxed BeHgSe2 crystal (GGA-PBE, Alexandria).

The structure in extended XYZ format:
```
4
Lattice="3.079 0.020 0.000 -1.128 2.865 0.000 0.000 0.000 9.727" Properties=species:S:1:pos:R:3 pbc="T T T"
Be 0.000 0.000 4.693
Hg 0.976 1.443 6.823
Se 0.000 0.000 9.422
Se 0.976 1.443 3.380
```

Output
As for the crystal system: orthorhombic. The value obtained for the mass density is 7.09 g cm⁻³. The electronic total energy is -2.492 eV/atom. The energy relative to the lowest polymorph listed for this composition comes out at 728 meV/atom. For the magnetization, the calculation gives 0.0 μB per cell. The formation energy (no corrections) comes out at 257 meV/atom.


# 4
# BeHgSe2

A relaxed BeHgSe2 crystal (GGA-PBE, Alexandria).

The structure in extended XYZ format:
```
16
Lattice="-5.205 -4.468 -0.154 1.579 -1.571 -7.789 4.116 -4.857 1.814" Properties=species:S:1:pos:R:3 pbc="T T T"
Se -1.028 -3.418 -2.930
Se 0.786 -6.614 -3.522
Se 3.877 -4.866 -5.856
Se -4.120 -5.166 -0.595
Se -0.307 -3.508 -6.483
Se 2.399 -3.917 -1.639
Se -3.213 -5.440 -5.064
Se -0.507 -5.849 -0.220
Be 1.022 -1.695 -6.819
Be -1.973 -3.538 -4.957
Be 0.419 -4.945 -2.073
Be -2.577 -6.788 -0.211
Hg 1.231 -7.661 0.748
Hg 4.231 -5.822 -1.134
Hg 1.282 -5.622 -5.985
Hg -1.718 -7.461 -4.103
```

Output
As for the crystal system: orthorhombic. The value obtained for the mass density is 6.63 g cm⁻³. The electronic total energy is -3.219 eV/atom. The energy relative to the lowest polymorph listed for this composition comes out at 1 meV/atom. For the magnetization, the calculation gives 0.0 μB per cell. The formation energy (no corrections) comes out at -470 meV/atom.


# 5
# BeHgSe2

A relaxed BeHgSe2 crystal (GGA-PBE, Alexandria).

The structure in extended XYZ format:
```
4
Lattice="10.130 -0.011 -0.007 9.635 3.127 -0.007 9.635 1.519 2.733" Properties=species:S:1:pos:R:3 pbc="T T T"
Se 28.454 4.485 2.632
Se 15.645 2.466 1.447
Be 7.350 1.159 0.680
Hg 22.049 3.476 2.040
```

Output
As for the crystal system: trigonal. The value obtained for the mass density is 7.01 g cm⁻³. The electronic total energy is -2.785 eV/atom. The energy relative to the lowest polymorph listed for this composition comes out at 435 meV/atom. For the magnetization, the calculation gives 0.0 μB per cell. The formation energy (no corrections) comes out at -36 meV/atom.


# 6
# BeHgSe2

A relaxed BeHgSe2 crystal (GGA-PBE, Alexandria).

The structure in extended XYZ format:
```
32
Lattice="15.987 0.000 -1.675 2.689 5.088 -5.028 -2.689 5.088 5.028" Properties=species:S:1:pos:R:3 pbc="T T T"
Se 2.652 5.482 2.095
Se 0.627 8.526 0.672
Se 13.335 4.694 -3.770
Se 5.341 5.991 -2.933
Se 1.760 5.381 -1.349
Se 11.770 7.071 -0.819
Se 15.360 1.651 -2.347
Se 4.217 3.106 -0.855
Se 8.923 5.381 -4.516
Se 8.621 6.739 -0.165
Se 14.227 4.796 -0.325
Se 10.646 4.185 1.258
Se 7.366 3.438 -1.509
Se 7.064 4.796 2.841
Se 3.776 8.194 0.018
Se 12.211 1.983 -1.693
Be 13.949 3.387 -2.081
Be 3.638 4.626 -2.454
Be 7.045 4.626 -3.411
Be 10.032 8.475 -0.431
Be 2.038 6.790 0.407
Be 8.943 5.551 1.737
Be 12.349 5.551 0.779
Be 5.956 1.702 -1.244
Hg 0.225 4.217 2.841
Hg 15.762 5.959 -4.516
Hg 9.813 2.861 -1.160
Hg 6.174 7.315 -0.514
Hg 14.168 7.950 -1.352
Hg 1.819 2.227 -0.323
Hg 5.079 4.217 1.349
Hg 10.908 5.959 -3.024
```

Output
As for the crystal system: monoclinic. The value obtained for the mass density is 6.32 g cm⁻³. The electronic total energy is -3.129 eV/atom. The energy relative to the lowest polymorph listed for this composition comes out at 91 meV/atom. For the magnetization, the calculation gives 0.0 μB per cell. The formation energy (no corrections) comes out at -380 meV/atom.